# Cs2BeVF6 | Alexandria | PBE with a Hubbard U | optimized geometry
# Uncorrected energy ... -5.144 eV per atom
# Size of the total moment ... 6.00 μB/cell
# ρ ... 4.3 g/cm³
data_Cs2BeVF6
_cell_length_a 5.555
_cell_length_b 5.555
_cell_length_c 10.999
_cell_angle_alpha 90.00
_cell_angle_beta 90.00
_cell_angle_gamma 90.00
_space_group_name_H-M_alt 'I 4/m m m'
_space_group_IT_number 139
_space_group_name_Hall '-I 4 2'
loop_
_atom_site_label
_atom_site_type_symbol
_atom_site_fract_x
_atom_site_fract_y
_atom_site_fract_z
Cs1 Cs 0.000 0.500 0.250
Be1 Be 0.000 0.000 0.000
V1 V 0.000 0.000 0.500
F1 F 0.000 0.000 0.312
F2 F 0.213 0.213 0.000